# 1
This record from the Alexandria database describes a geometry-optimized UAlSn structure. The functional is PBE.

Cell: 3.248 3.248 6.717 Å, 103.99 103.99 90.00°
Last column: magnetic moment on the atom in μB.
Sites, in units of the cell vectors:
U 0.273 0.273 0.547  2.26
Sn 0.961 0.961 0.923  -0.01
Al 0.615 0.615 0.230  -0.01

## Properties
The value obtained for the calculated volume is 66.6 Å³ per cell. The energy of formation from the pure elements comes out at 13 kJ/mol of atoms.

# 2
This record from the Alexandria database describes a geometry-optimized NiP2RhCl structure. The functional is PBE.

Cell: 4.502 4.502 5.011 Å, 90.00 90.00 90.00°
Last column: magnetic moment on the atom in μB.
Sites, in units of the cell vectors:
Ni 0.500 0.500 0.500  0.66
Rh 0.000 0.000 0.000  -0.04
P 0.000 0.500 0.000  -0.02
P 0.500 0.000 0.000  -0.02
Cl 0.000 0.000 0.500  0.01

## Properties
The calculation puts the formation energy without anion corrections at 0.786 eV per atom. The value obtained for the energy above the lowest structure with this stoichiometry is 92 meV per atom. The value obtained for the calculated volume is 101.6 Å³ per cell.

# 3
This record from the Alexandria database describes a geometry-optimized TbNdTm2Tl2 structure. The functional is PBE.

Cell: 5.113 6.789 10.041 Å, 90.00 90.00 90.00°
Sites, in units of the cell vectors:
Tb 0.500 0.183 0.692
Tb 0.500 0.683 0.308
Nd 0.000 0.958 0.459
Nd 0.000 0.458 0.541
Tm 0.500 0.052 0.042
Tm 0.000 0.336 0.182
Tm 0.500 0.552 0.958
Tm 0.000 0.836 0.818
Tl 0.000 0.298 0.871
Tl 0.500 0.219 0.357
Tl 0.000 0.798 0.129
Tl 0.500 0.719 0.643

## Properties
The value obtained for the calculated volume is 348.5 Å³ per cell. The energy of formation from the pure elements comes out at -25 kJ/mol of atoms.

# 4
This record from the Alexandria database describes a geometry-optimized La2Dy3ThAs6 structure. The functional is PBE.

Cell: 4.231 8.446 9.431 Å, 102.60 102.96 90.00°
Sites, in units of the cell vectors:
La 0.833 0.665 0.666
La 0.167 0.335 0.334
Dy 0.500 0.500 0.000
Dy 0.832 0.167 0.665
Dy 0.168 0.833 0.335
Th 0.500 0.000 0.000
As 0.333 0.926 0.666
As 0.663 0.591 0.327
As 0.667 0.074 0.334
As 0.997 0.251 0.994
As 0.003 0.749 0.006
As 0.337 0.409 0.673

## Properties
The value obtained for the calculated volume is 320.1 Å³ per cell. The energy of formation from the pure elements comes out at -148 kJ/mol of atoms.

> Which formula does entry 2 have?

NiP2RhCl